--- i ---
{
  "formula": "Nb3Os2Ru",
  "functional": "GGA-PBE",
  "state": "relaxed",
  "magmom_total_mub_per_fu": 0.00,
  "n_ef_per_ev_atom": 0.856,
  "cell": [[3.068, 0.000, 0.000], [0.000, 3.068, 0.000], [0.000, 0.000, 10.343]],
  "species": ["Nb", "Nb", "Nb", "Os", "Os", "Ru"],
  "fractional_positions": [[0.000, 0.000, 0.000], [0.000, 0.000, 0.334], [0.000, 0.000, 0.666], [0.500, 0.500, 0.167], [0.500, 0.500, 0.833], [0.500, 0.500, 0.500]]
}

--- ii ---
{
  "formula": "Nb3Os2Ru",
  "functional": "GGA-PBE",
  "state": "relaxed",
  "magmom_total_mub_per_fu": 0.00,
  "n_ef_per_ev_atom": 1.098,
  "cell": [[2.170, -6.521, 0.000], [2.170, 6.521, 0.000], [0.000, 0.000, 6.889]],
  "species": ["Nb", "Nb", "Nb", "Nb", "Nb", "Nb", "Os", "Os", "Os", "Os", "Ru", "Ru"],
  "fractional_positions": [[0.000, 0.000, 0.249], [0.000, 0.000, 0.751], [0.334, 0.666, 0.250], [0.334, 0.666, 0.750], [0.666, 0.334, 0.250], [0.666, 0.334, 0.750], [0.166, 0.834, 0.500], [0.500, 0.500, 0.000], [0.500, 0.500, 0.500], [0.834, 0.166, 0.500], [0.168, 0.832, 0.000], [0.832, 0.168, 0.000]]
}

Which structure is most stable? i, by 0.010 eV/atom over the runner-up.

--- i ---
{
  "formula": "NbOs2Ru",
  "functional": "GGA-PBE",
  "state": "relaxed",
  "magmom_total_mub_per_fu": 1.51,
  "n_ef_per_ev_atom": 1.803,
  "cell": [[0.000, 3.138, 3.138], [3.138, 0.000, 3.138], [3.138, 3.138, 0.000]],
  "species": ["Nb", "Os", "Os", "Ru"],
  "fractional_positions": [[0.000, 0.000, 0.000], [0.250, 0.250, 0.250], [0.750, 0.750, 0.750], [0.500, 0.500, 0.500]]
}

--- ii ---
{
  "formula": "NbOs2Ru",
  "functional": "GGA-PBE",
  "state": "relaxed",
  "magmom_total_mub_per_fu": 0.00,
  "n_ef_per_ev_atom": 0.588,
  "cell": [[-1.394, 4.475, 2.412], [1.394, -4.475, 2.412], [1.394, 4.475, -2.412]],
  "species": ["Nb", "Os", "Os", "Ru"],
  "fractional_positions": [[0.000, 0.000, 0.000], [0.429, 0.674, 0.755], [0.920, 0.674, 0.245], [0.502, 0.002, 0.500]]
}

Which structure is most stable? ii, by 0.433 eV/atom over the runner-up.

--- i ---
{
  "formula": "NbOs2Ru",
  "functional": "GGA-PBE",
  "state": "relaxed",
  "magmom_total_mub_per_fu": 0.00,
  "n_ef_per_ev_atom": 1.163,
  "cell": [[-1.924, 1.924, 9.005], [1.924, -1.924, 9.005], [1.924, 1.924, -9.005]],
  "species": ["Nb", "Nb", "Os", "Os", "Os", "Os", "Ru", "Ru"],
  "fractional_positions": [[0.000, 0.000, 0.000], [0.750, 0.250, 0.500], [0.152, 0.625, 0.027], [0.375, 0.402, 0.527], [0.598, 0.125, 0.973], [0.875, 0.848, 0.473], [0.250, 0.750, 0.500], [0.500, 0.500, 0.000]]
}

--- ii ---
{
  "formula": "NbOs2Ru",
  "functional": "GGA-PBE",
  "state": "relaxed",
  "magmom_total_mub_per_fu": 0.00,
  "n_ef_per_ev_atom": 1.253,
  "cell": [[3.917, 0.000, 0.000], [0.000, 3.917, 0.000], [0.000, 0.000, 3.932]],
  "species": ["Nb", "Os", "Os", "Ru"],
  "fractional_positions": [[0.000, 0.000, 0.000], [0.000, 0.500, 0.500], [0.500, 0.000, 0.500], [0.500, 0.500, 0.000]]
}

--- iii ---
{
  "formula": "NbOs2Ru",
  "functional": "GGA-PBE",
  "state": "relaxed",
  "magmom_total_mub_per_fu": 0.00,
  "n_ef_per_ev_atom": 0.581,
  "cell": [[4.857, 0.000, 0.000], [2.409, 4.698, 0.000], [0.019, 1.618, 5.299]],
  "species": ["Nb", "Nb", "Os", "Os", "Os", "Os", "Ru", "Ru"],
  "fractional_positions": [[0.000, 0.000, 0.000], [0.468, 0.451, 0.392], [0.030, 0.974, 0.507], [0.439, 0.481, 0.885], [0.940, 0.497, 0.627], [0.950, 0.474, 0.131], [0.524, 0.975, 0.261], [0.531, 0.959, 0.765]]
}

Which structure is most stable? iii, by 0.025 eV/atom over the runner-up.